(1)
# YTh2Se4 (PBE-GGA, relaxed)
# Density of states at the Fermi level   12.37 states/eV/cell
# Polymorph energy (0 for the lowest one)   0 meV/atom
# Electronic total energy   -93.4 eV for the cell shown
# Mass density   8.4 g cm⁻³
# Uncorrected formation energy   -1634.2 meV/atom
data_YTh2Se4
_cell_length_a 7.649
_cell_length_b 7.649
_cell_length_c 7.649
_cell_angle_alpha 110.48
_cell_angle_beta 110.48
_cell_angle_gamma 107.47
_symmetry_space_group_name_H-M 'P 1'
_symmetry_Int_Tables_number 1
loop_
_symmetry_equiv_pos_as_xyz
'x,y,z'
loop_
_atom_site_label
_atom_site_type_symbol
_atom_site_fract_x
_atom_site_fract_y
_atom_site_fract_z
Y1 Y 0.000 0.000 0.000
Y2 Y 0.750 0.250 0.500
Th1 Th 0.262 0.125 0.637
Th2 Th 0.375 0.738 0.863
Th3 Th 0.488 0.625 0.363
Th4 Th 0.875 0.512 0.137
Se1 Se 0.114 0.374 0.896
Se2 Se 0.124 0.364 0.396
Se3 Se 0.272 0.876 0.240
Se4 Se 0.478 0.218 0.104
Se5 Se 0.626 0.522 0.740
Se6 Se 0.636 0.032 0.760
Se7 Se 0.782 0.886 0.260
Se8 Se 0.968 0.728 0.604

***

(2)
# Tl2NiHg2 (PBE-GGA, relaxed)
# Density of states at the Fermi level   3.97 states/eV/cell
# Electronic total energy   -19.8 eV for the cell shown
# Mass density   11.1 g cm⁻³
# Formation energy   1.2 eV/f.u.
data_Tl2NiHg2
_cell_length_a 6.941
_cell_length_b 6.941
_cell_length_c 5.418
_cell_angle_alpha 90.00
_cell_angle_beta 90.00
_cell_angle_gamma 90.00
_symmetry_space_group_name_H-M 'P 1'
_symmetry_Int_Tables_number 1
loop_
_symmetry_equiv_pos_as_xyz
'x,y,z'
loop_
_atom_site_label
_atom_site_type_symbol
_atom_site_fract_x
_atom_site_fract_y
_atom_site_fract_z
Tl1 Tl 0.175 0.325 0.000
Tl2 Tl 0.325 0.825 0.000
Tl3 Tl 0.675 0.175 0.000
Tl4 Tl 0.825 0.675 0.000
Ni1 Ni 0.000 0.000 0.500
Ni2 Ni 0.500 0.500 0.500
Hg1 Hg 0.163 0.663 0.500
Hg2 Hg 0.337 0.163 0.500
Hg3 Hg 0.663 0.837 0.500
Hg4 Hg 0.837 0.337 0.500

***

(3)
# CsHg3Pt (PBE-GGA, relaxed)
# Density of states at the Fermi level   1.74 states/eV/cell
# Polymorph energy (0 for the lowest one)   352 meV/atom
# Electronic total energy   -7.6 eV for the cell shown
# Mass density   10.1 g cm⁻³
# Formation energy   0.2 eV/f.u.
data_CsHg3Pt
_cell_length_a 4.080
_cell_length_b 4.080
_cell_length_c 9.154
_cell_angle_alpha 90.00
_cell_angle_beta 90.00
_cell_angle_gamma 90.00
_symmetry_space_group_name_H-M 'P 1'
_symmetry_Int_Tables_number 1
loop_
_symmetry_equiv_pos_as_xyz
'x,y,z'
loop_
_atom_site_label
_atom_site_type_symbol
_atom_site_fract_x
_atom_site_fract_y
_atom_site_fract_z
Cs1 Cs 0.000 0.000 0.000
Hg1 Hg 0.000 0.000 0.636
Hg2 Hg 0.000 0.500 0.354
Hg3 Hg 0.500 0.000 0.354
Pt1 Pt 0.500 0.500 0.622

***

(4)
# Sm3HoCd6 (PBE-GGA, relaxed)
# Density of states at the Fermi level   16.30 states/eV/cell
# Electronic total energy   -54.3 eV for the cell shown
# Mass density   8.2 g cm⁻³
# Formation energy   -2.9 eV/f.u.
data_Sm3HoCd6
_cell_length_a 9.331
_cell_length_b 5.187
_cell_length_c 11.128
_cell_angle_alpha 90.00
_cell_angle_beta 105.03
_cell_angle_gamma 90.00
_symmetry_space_group_name_H-M 'P 1'
_symmetry_Int_Tables_number 1
loop_
_symmetry_equiv_pos_as_xyz
'x,y,z'
loop_
_atom_site_label
_atom_site_type_symbol
_atom_site_fract_x
_atom_site_fract_y
_atom_site_fract_z
Sm1 Sm 0.027 0.250 0.392
Sm2 Sm 0.152 0.750 0.216
Sm3 Sm 0.262 0.250 0.002
Sm4 Sm 0.738 0.750 0.998
Sm5 Sm 0.848 0.250 0.784
Sm6 Sm 0.973 0.750 0.608
Ho1 Ho 0.446 0.250 0.603
Ho2 Ho 0.554 0.750 0.397
Cd1 Cd 0.049 0.750 0.910
Cd2 Cd 0.167 0.250 0.706
Cd3 Cd 0.267 0.750 0.514
Cd4 Cd 0.353 0.750 0.812
Cd5 Cd 0.362 0.250 0.306
Cd6 Cd 0.451 0.750 0.108
Cd7 Cd 0.549 0.250 0.892
Cd8 Cd 0.638 0.750 0.694
Cd9 Cd 0.647 0.250 0.188
Cd10 Cd 0.733 0.250 0.486
Cd11 Cd 0.833 0.750 0.294
Cd12 Cd 0.951 0.250 0.090

***

(5)
# BeOsAu (PBE-GGA, relaxed)
# Density of states at the Fermi level   3.50 states/eV/cell
# Polymorph energy (0 for the lowest one)   269 meV/atom
# Electronic total energy   -16.8 eV for the cell shown
# Mass density   15.3 g cm⁻³
# Formation energy   1.4 eV/f.u.
data_BeOsAu
_cell_length_a 3.932
_cell_length_b 3.932
_cell_length_c 3.932
_cell_angle_alpha 60.00
_cell_angle_beta 60.00
_cell_angle_gamma 60.00
_symmetry_space_group_name_H-M 'P 1'
_symmetry_Int_Tables_number 1
loop_
_symmetry_equiv_pos_as_xyz
'x,y,z'
loop_
_atom_site_label
_atom_site_type_symbol
_atom_site_fract_x
_atom_site_fract_y
_atom_site_fract_z
Be1 Be 0.000 0.000 0.000
Os1 Os 0.250 0.250 0.250
Au1 Au 0.750 0.750 0.750

***

(6)
# SbAsI2N (PBE-GGA, relaxed)
# Density of states at the Fermi level   3.89 states/eV/cell
# Polymorph energy (0 for the lowest one)   230 meV/atom
# Electronic total energy   -15.3 eV for the cell shown
# Mass density   5.2 g cm⁻³
# Uncorrected formation energy   971.6 meV/atom
data_SbAsI2N
_cell_length_a 6.132
_cell_length_b 6.132
_cell_length_c 3.927
_cell_angle_alpha 90.00
_cell_angle_beta 90.00
_cell_angle_gamma 90.00
_symmetry_space_group_name_H-M 'P 1'
_symmetry_Int_Tables_number 1
loop_
_symmetry_equiv_pos_as_xyz
'x,y,z'
loop_
_atom_site_label
_atom_site_type_symbol
_atom_site_fract_x
_atom_site_fract_y
_atom_site_fract_z
Sb1 Sb 0.000 0.000 0.000
As1 As 0.500 0.500 0.500
I1 I 0.000 0.500 0.000
I2 I 0.500 0.000 0.000
N1 N 0.000 0.000 0.500

***

(7)
# LiNbRePd2 (PBE-GGA, relaxed)
# Density of states at the Fermi level   3.98 states/eV/cell
# Electronic total energy   -30.1 eV for the cell shown
# Mass density   7.2 g cm⁻³
# Formation energy   4.7 eV/f.u.
data_LiNbRePd2
_cell_length_a 4.941
_cell_length_b 4.941
_cell_length_c 4.697
_cell_angle_alpha 90.00
_cell_angle_beta 90.00
_cell_angle_gamma 90.00
_symmetry_space_group_name_H-M 'P 1'
_symmetry_Int_Tables_number 1
loop_
_symmetry_equiv_pos_as_xyz
'x,y,z'
loop_
_atom_site_label
_atom_site_type_symbol
_atom_site_fract_x
_atom_site_fract_y
_atom_site_fract_z
Li1 Li 0.000 0.000 0.000
Nb1 Nb 0.500 0.500 0.000
Re1 Re 0.500 0.500 0.500
Pd1 Pd 0.000 0.500 0.500
Pd2 Pd 0.500 0.000 0.500

***

(8)
# TcTe3 (PBE-GGA, relaxed)
# Density of states at the Fermi level   4.04 states/eV/cell
# Polymorph energy (0 for the lowest one)   461 meV/atom
# Electronic total energy   -17.8 eV for the cell shown
# Mass density   7.1 g cm⁻³
# Uncorrected formation energy   490.7 meV/atom
data_TcTe3
_cell_length_a 3.719
_cell_length_b 4.948
_cell_length_c 6.071
_cell_angle_alpha 90.00
_cell_angle_beta 90.00
_cell_angle_gamma 90.00
_symmetry_space_group_name_H-M 'P 1'
_symmetry_Int_Tables_number 1
loop_
_symmetry_equiv_pos_as_xyz
'x,y,z'
loop_
_atom_site_label
_atom_site_type_symbol
_atom_site_fract_x
_atom_site_fract_y
_atom_site_fract_z
Tc1 Tc 0.000 0.000 0.000
Te1 Te 0.000 0.500 0.200
Te2 Te 0.500 0.000 0.307
Te3 Te 0.500 0.500 0.794